(1)
NaLi2Sb2 at its PBEsol-relaxed geometry, computed with meta-GGA SCAN.

Calculated values
DOS(E_F) = 2.51 states/eV per cell
energy relative to the lowest polymorph listed for this composition = 0 meV per atom

a b c (Å): 8.501 8.501 3.121
angles (deg): 90.00 90.00 90.00
Space group P4/mbm (No. 127)
Asymmetric unit:
1 Na 0.000 0.000 0.000 x2
2 Li 0.126 0.374 0.500 x4
3 Sb 0.167 0.667 0.000 x4



(2)
YZrW2 at its PBEsol-relaxed geometry, computed with meta-GGA SCAN.

Calculated values
DOS(E_F) = 3.85 states/eV per cell
energy relative to the lowest polymorph listed for this composition = 0 meV per atom
DFT formation energy = 0.40 eV/atom

a b c (Å): 2.980 4.399 6.098
angles (deg): 90.00 101.90 90.00
Space group Pm (No. 6)
Asymmetric unit:
1 Y 0.000 0.000 0.000 x1
2 Zr 0.719 0.500 0.295 x1
3 W 0.272 0.500 0.729 x1
4 W 0.465 0.000 0.536 x1



(3)
LiLaIn at its PBEsol-relaxed geometry, computed with meta-GGA SCAN.

Calculated values
DOS(E_F) = 1.83 states/eV per cell
DFT formation energy = -0.47 eV/atom

a b c (Å): 5.0906 5.0906 3.3932
angles (deg): 90.00 90.00 120.00
Space group P-6m2 (No. 187)
Asymmetric unit:
1 Li 0.0000 0.0000 0.0000 x1
2 La 0.3333 0.6667 0.5000 x1
3 In 0.6667 0.3333 0.0000 x1



(4)
GaB2Rh2 at its PBEsol-relaxed geometry, computed with meta-GGA SCAN.

Calculated values
DOS(E_F) = 3.01 states/eV per cell
DFT formation energy = -0.40 eV/atom

a b c (Å): 2.994 2.994 12.156
angles (deg): 90.00 90.00 90.00
Space group I4/mmm (No. 139)
Asymmetric unit:
1 Ga 0.000 0.000 0.000 x2
2 B 0.000 0.500 0.250 x4
3 Rh 0.000 0.000 0.376 x4



(5)
LiSeBr2F at its PBEsol-relaxed geometry, computed with meta-GGA SCAN.

Calculated values
DOS(E_F) = 4.30 states/eV per cell

a b c (Å): 4.628 4.628 4.646
angles (deg): 90.00 90.00 90.00
Space group P4/mmm (No. 123)
Asymmetric unit:
1 Li 0.000 0.000 0.000 x1
2 Se 0.000 0.000 0.500 x1
3 Br 0.000 0.500 0.000 x2
4 F 0.500 0.500 0.500 x1



(6)
MoRuW2 at its PBEsol-relaxed geometry, computed with meta-GGA SCAN.

Calculated values
DOS(E_F) = 8.10 states/eV per cell
energy relative to the lowest polymorph listed for this composition = 153 meV per atom
DFT formation energy = 0.31 eV/atom

a b c (Å): 2.7507 2.7507 27.8525
angles (deg): 90.00 90.00 120.00
Space group R3m (No. 160, hexagonal axes)
Asymmetric unit:
1 Mo 0.0000 0.0000 0.0000 x3
2 Ru 0.0000 0.0000 0.7450 x3
3 W 0.0000 0.0000 0.2456 x3
4 W 0.0000 0.0000 0.4908 x3



no.,total energy (eV/atom)
1,-17.1721
2,-49.0780
3,-26.7611
4,-20.1529
5,-12.9665
6,-51.9611